Li5Mn2CoO8: relaxed, PBE with a Hubbard U.

a = 2.902 Å, b = 5.945 Å, c = 8.289 Å
α = 89.57°, β = 90.00°, γ = 90.00°
Site moments in Bohr magnetons follow the coordinates.
Element x y z (fractional)
Li (0.000, 0.996, 0.503)  0.01
Li (0.500, 0.736, 0.735)  0.01
Li (0.000, 0.495, 0.991)  0.00
Li (0.500, 0.260, 0.271)  0.01
Li (0.000, 0.505, 0.505)  0.01
Mn (0.000, 0.002, 0.998)  3.19
Mn (0.500, 0.746, 0.260)  3.09
Co (0.500, 0.265, 0.722)  2.98
O (0.000, 0.487, 0.756)  0.26
O (0.500, 0.218, 0.009)  -0.04
O (0.000, 0.974, 0.240)  -0.09
O (0.500, 0.751, 0.477)  0.04
O (0.000, 0.532, 0.243)  -0.07
O (0.500, 0.243, 0.508)  0.35
O (0.000, 0.012, 0.772)  0.09
O (0.500, 0.779, 0.010)  -0.09

Values from the calculation:
- ρ: 3.850 g cm⁻³
- Offset from the most stable computed form: 0.047 eV/atom
- Raw total energy: -5.977 eV per atom
- Space group: Pm, No. 6